{
  "formula": "GaFe2CoC",
  "functional": "PBE-GGA",
  "state": "relaxed",
  "lattice": [[3.7531, 0.0000, 0.0000], [0.0000, 3.7531, 0.0000], [0.0000, 0.0000, 3.7604]],
  "species": ["Ga", "Fe", "Fe", "Co", "C"],
  "frac_coords": [[0.0000, 0.0000, 0.0000], [0.0000, 0.5000, 0.5000], [0.5000, 0.0000, 0.5000], [0.5000, 0.5000, 0.0000], [0.5000, 0.5000, 0.5000]],
  "density_g_cm3": 7.9,
  "total_energy_ev_per_atom": -7.33,
  "formation_energy_ev_per_atom": -0.069,
  "sg": "No. 123",
  "dos_ef_per_ev_atom": 0.856,
  "de_polymorph_ev_per_atom": 0.000
}

{
  "formula": "Tb2Sc3Sn4",
  "functional": "PBE-GGA",
  "state": "relaxed",
  "lattice": [[7.9604, 0.0000, 0.0000], [0.0000, 7.9360, 0.0000], [-2.7132, 0.0000, 7.2164]],
  "species": ["Tb", "Tb", "Tb", "Tb", "Sc", "Sc", "Sc", "Sc", "Sc", "Sc", "Sn", "Sn", "Sn", "Sn", "Sn", "Sn", "Sn", "Sn"],
  "frac_coords": [[0.1914, 0.1768, 0.0580], [0.1914, 0.3232, 0.5580], [0.8086, 0.6768, 0.4420], [0.8086, 0.8232, 0.9420], [0.2487, 0.6640, 0.2415], [0.2487, 0.8360, 0.7415], [0.5000, 0.0000, 0.5000], [0.5000, 0.5000, 0.0000], [0.7513, 0.1640, 0.2585], [0.7513, 0.3360, 0.7585], [0.0847, 0.5425, 0.8413], [0.0847, 0.9575, 0.3413], [0.4928, 0.1368, 0.8606], [0.4928, 0.3632, 0.3606], [0.5072, 0.6368, 0.6394], [0.5072, 0.8632, 0.1394], [0.9153, 0.0425, 0.6587], [0.9153, 0.4575, 0.1587]],
  "density_g_cm3": 6.8,
  "total_energy_ev_per_atom": -5.67,
  "formation_energy_ev_per_atom": -0.755,
  "sg": "No. 14",
  "dos_ef_per_ev_atom": 0.706
}

{
  "formula": "ZrAlMo4",
  "functional": "PBE-GGA",
  "state": "relaxed",
  "lattice": [[0.0000, 3.7469, 3.7469], [3.7469, 0.0000, 3.7469], [3.7469, 3.7469, 0.0000]],
  "species": ["Zr", "Al", "Mo", "Mo", "Mo", "Mo"],
  "frac_coords": [[0.0000, 0.0000, 0.0000], [0.7500, 0.7500, 0.7500], [0.3756, 0.3756, 0.3756], [0.3756, 0.3756, 0.8731], [0.3756, 0.8731, 0.3756], [0.8731, 0.3756, 0.3756]],
  "density_g_cm3": 7.9,
  "total_energy_ev_per_atom": -9.27,
  "formation_energy_ev_per_atom": -0.006,
  "sg": "No. 216",
  "dos_ef_per_ev_atom": 0.748,
  "de_polymorph_ev_per_atom": 0.000
}

{
  "formula": "Y8Te4CSe3",
  "functional": "PBE-GGA",
  "state": "relaxed",
  "lattice": [[4.1315, 2.3853, 7.0095], [-4.1315, 2.3853, 7.0095], [0.0000, -4.7706, 7.0095]],
  "species": ["Y", "Y", "Y", "Y", "Y", "Y", "Y", "Y", "Te", "Te", "Te", "Te", "C", "Se", "Se", "Se"],
  "frac_coords": [[0.2398, 0.2398, 0.2398], [0.2700, 0.7157, 0.7157], [0.2843, 0.2843, 0.7300], [0.2843, 0.7300, 0.2843], [0.7157, 0.2700, 0.7157], [0.7157, 0.7157, 0.2700], [0.7300, 0.2843, 0.2843], [0.7602, 0.7602, 0.7602], [0.0000, 0.0000, 0.0000], [0.0000, 0.5000, 0.5000], [0.5000, 0.0000, 0.5000], [0.5000, 0.5000, 0.0000], [0.5000, 0.5000, 0.5000], [0.0000, 0.0000, 0.5000], [0.0000, 0.5000, 0.0000], [0.5000, 0.0000, 0.0000]],
  "density_g_cm3": 5.9,
  "total_energy_ev_per_atom": -6.67,
  "e_form_raw_ev_per_fu": -22.72,
  "sg": "No. 166",
  "dos_ef_per_ev_atom": 0.423
}

{
  "formula": "Dy4InAu",
  "functional": "PBE-GGA",
  "state": "relaxed",
  "lattice": [[7.4511, 0.0000, 0.0000], [0.0000, 7.4423, 0.0000], [-0.4837, 0.0000, 6.8466]],
  "species": ["Dy", "Dy", "Dy", "Dy", "Dy", "Dy", "Dy", "Dy", "In", "In", "Au", "Au"],
  "frac_coords": [[0.1595, 0.1679, 0.1758], [0.1595, 0.3321, 0.6758], [0.3350, 0.6472, 0.1080], [0.3350, 0.8528, 0.6080], [0.6650, 0.1472, 0.3920], [0.6650, 0.3528, 0.8920], [0.8405, 0.6679, 0.3242], [0.8405, 0.8321, 0.8242], [0.5000, 0.0000, 0.0000], [0.5000, 0.5000, 0.5000], [0.0000, 0.0000, 0.5000], [0.0000, 0.5000, 0.0000]],
  "density_g_cm3": 8.4,
  "total_energy_ev_per_atom": -4.29,
  "formation_energy_ev_per_atom": -0.221,
  "sg": "No. 14",
  "dos_ef_per_ev_atom": 1.014,
  "de_polymorph_ev_per_atom": 0.225
}

Please write out number 2 again, unchanged.
{
  "formula": "Tb2Sc3Sn4",
  "functional": "PBE-GGA",
  "state": "relaxed",
  "lattice": [[7.9604, 0.0000, 0.0000], [0.0000, 7.9360, 0.0000], [-2.7132, 0.0000, 7.2164]],
  "species": ["Tb", "Tb", "Tb", "Tb", "Sc", "Sc", "Sc", "Sc", "Sc", "Sc", "Sn", "Sn", "Sn", "Sn", "Sn", "Sn", "Sn", "Sn"],
  "frac_coords": [[0.1914, 0.1768, 0.0580], [0.1914, 0.3232, 0.5580], [0.8086, 0.6768, 0.4420], [0.8086, 0.8232, 0.9420], [0.2487, 0.6640, 0.2415], [0.2487, 0.8360, 0.7415], [0.5000, 0.0000, 0.5000], [0.5000, 0.5000, 0.0000], [0.7513, 0.1640, 0.2585], [0.7513, 0.3360, 0.7585], [0.0847, 0.5425, 0.8413], [0.0847, 0.9575, 0.3413], [0.4928, 0.1368, 0.8606], [0.4928, 0.3632, 0.3606], [0.5072, 0.6368, 0.6394], [0.5072, 0.8632, 0.1394], [0.9153, 0.0425, 0.6587], [0.9153, 0.4575, 0.1587]],
  "density_g_cm3": 6.8,
  "total_energy_ev_per_atom": -5.67,
  "formation_energy_ev_per_atom": -0.755,
  "sg": "No. 14",
  "dos_ef_per_ev_atom": 0.706
}